Density functional theory data (PBE-GGA) for a geometry-optimized LiErTe2O6 structure.

Summary:
density of states at the Fermi level	0.00	states/eV per cell
calculated total energy	-60.28	eV per formula unit
space-group type	C2/c
magnetization	0.00	μB/f.u.
formation energy from raw total energies	-171	kJ/mol of atoms

Lattice parameters (Å, degrees): 7.5002 7.5002 5.5338 95.54 95.54 84.62
Positions (direct):
Li1 0.1459 0.8541 0.7500
Li2 0.8541 0.1459 0.2500
Er1 0.3786 0.6214 0.2500
Er2 0.6214 0.3786 0.7500
Te1 0.1392 0.3356 0.6053
Te2 0.3356 0.1392 0.1053
Te3 0.6644 0.8608 0.8947
Te4 0.8608 0.6644 0.3947
O1 0.1081 0.2023 0.2625
O2 0.1325 0.6906 0.4363
O3 0.2023 0.1081 0.7625
O4 0.3094 0.8675 0.0637
O5 0.3465 0.3944 0.9703
O6 0.3944 0.3465 0.4703
O7 0.6056 0.6535 0.5297
O8 0.6535 0.6056 0.0297
O9 0.6906 0.1325 0.9363
O10 0.7977 0.8919 0.2375
O11 0.8675 0.3094 0.5637
O12 0.8919 0.7977 0.7375